Material: LaHoCuRh
Method: DFT, PBE
State: optimized geometry

Results
As for the density of states at the Fermi level: 0.86 states/eV/atom. The total DFT energy (no corrections) comes out at -22.9 eV per cell. As for the symmetry: F-43m, No. 216. The magnetic moment comes out at 0.000 μB per cell.

```
LaHoCuRh
1.0
-2.996 3.613 1.721
-4.568 -1.133 1.688
-1.004 0.298 4.889
Ho Cu La Rh
1 1 1 1
direct
0.750 0.750 0.750
0.500 0.500 0.500
0.250 0.250 0.250
0.000 0.000 0.000
```